Record 1
## LaAlPb4 (SCAN)

Data for a crystal of LaAlPb4 relaxed with PBEsol.

Values from the calculation:
Calculated density = 9.258 g cm⁻³
Raw total energy = -354.2 eV for the cell shown
Symmetry = No. 216

a = 6.319 Å, b = 6.319 Å, c = 6.319 Å
α = 60.00°, β = 60.00°, γ = 60.00°
Sites, in units of the cell vectors:
La: 0.000 0.000 0.000
Al: 0.250 0.250 0.250
Pb: 0.124 0.625 0.625
Pb: 0.625 0.124 0.625
Pb: 0.625 0.625 0.124
Pb: 0.625 0.625 0.625


Record 2
## GeSb2TeN (SCAN)

Data for a crystal of GeSb2TeN relaxed with PBEsol.

Values from the calculation:
Calculated density = 5.059 g cm⁻³
Relative energy among the computed polymorphs = 0.774 eV per atom
Raw total energy = -132.5 eV for the cell shown
Formation energy without anion corrections = 1.527 eV per atom
Symmetry = No. 123

a = 5.274 Å, b = 5.274 Å, c = 5.402 Å
α = 90.00°, β = 90.00°, γ = 90.00°
Sites, in units of the cell vectors:
Ge: 0.000 0.000 0.000
Sb: 0.000 0.500 0.000
Sb: 0.500 0.000 0.000
Te: 0.000 0.000 0.500
N: 0.500 0.500 0.500


Record 3
## Tc3BiPt (SCAN)

Data for a crystal of Tc3BiPt relaxed with PBEsol.

Values from the calculation:
Calculated density = 10.437 g cm⁻³
Raw total energy = -239.9 eV for the cell shown
Symmetry = No. 221

a = 4.807 Å, b = 4.807 Å, c = 4.807 Å
α = 90.00°, β = 90.00°, γ = 90.00°
Sites, in units of the cell vectors:
Tc: 0.000 0.000 0.500
Tc: 0.000 0.500 0.000
Tc: 0.500 0.000 0.000
Bi: 0.000 0.000 0.000
Pt: 0.500 0.500 0.500


Record 4
## HfScTc2 (SCAN)

Data for a crystal of HfScTc2 relaxed with PBEsol.

Values from the calculation:
Calculated density = 10.561 g cm⁻³
Raw total energy = -148.3 eV for the cell shown
Symmetry = No. 225

a = 4.535 Å, b = 4.535 Å, c = 4.535 Å
α = 60.00°, β = 60.00°, γ = 60.00°
Sites, in units of the cell vectors:
Hf: 0.000 0.000 0.000
Sc: 0.500 0.500 0.500
Tc: 0.250 0.250 0.250
Tc: 0.750 0.750 0.750


Record 5
## Li2VCrO4 (SCAN)

Data for a crystal of Li2VCrO4 relaxed with PBEsol.

Values from the calculation:
Calculated density = 4.305 g cm⁻³
Relative energy among the computed polymorphs = 0.000 eV per atom
Raw total energy = -85.9 eV for the cell shown
Formation energy without anion corrections = -2.536 eV per atom
Symmetry = No. 10

a = 5.061 Å, b = 2.871 Å, c = 5.105 Å
α = 90.00°, β = 109.93°, γ = 90.00°
Sites, in units of the cell vectors:
Li: 0.000 0.000 0.000
Li: 0.000 0.500 0.500
V: 0.500 0.000 0.500
Cr: 0.500 0.500 0.000
O: 0.271 0.500 0.251
O: 0.274 0.000 0.757
O: 0.726 0.000 0.243
O: 0.729 0.500 0.749


Record 6
## ErCdRh2 (SCAN)

Data for a crystal of ErCdRh2 relaxed with PBEsol.

Values from the calculation:
Calculated density = 11.849 g cm⁻³
Raw total energy = -151.0 eV for the cell shown
Symmetry = No. 225

a = 4.582 Å, b = 4.582 Å, c = 4.582 Å
α = 60.00°, β = 60.00°, γ = 60.00°
Sites, in units of the cell vectors:
Er: 0.000 0.000 0.000
Cd: 0.500 0.500 0.500
Rh: 0.250 0.250 0.250
Rh: 0.750 0.750 0.750


Record 7
## YTl2Pb (SCAN)

Data for a crystal of YTl2Pb relaxed with PBEsol.

Values from the calculation:
Calculated density = 11.229 g cm⁻³
Raw total energy = -250.0 eV for the cell shown
Symmetry = No. 123

a = 4.612 Å, b = 4.612 Å, c = 4.901 Å
α = 90.00°, β = 90.00°, γ = 90.00°
Sites, in units of the cell vectors:
Y: 0.000 0.000 0.000
Tl: 0.000 0.500 0.500
Tl: 0.500 0.000 0.500
Pb: 0.500 0.500 0.000


Record 8
## MgCdAg2 (SCAN)

Data for a crystal of MgCdAg2 relaxed with PBEsol.

Values from the calculation:
Calculated density = 8.169 g cm⁻³
Raw total energy = -98.6 eV for the cell shown
Symmetry = No. 216

a = 4.662 Å, b = 4.662 Å, c = 4.662 Å
α = 60.00°, β = 60.00°, γ = 60.00°
Sites, in units of the cell vectors:
Mg: 0.000 0.000 0.000
Cd: 0.750 0.750 0.750
Ag: 0.250 0.250 0.250
Ag: 0.500 0.500 0.500


Record 9
## Tm2V2O7 (SCAN)

Data for a crystal of Tm2V2O7 relaxed with PBEsol.

Values from the calculation:
Calculated density = 7.640 g cm⁻³
Raw total energy = -437.4 eV for the cell shown
Formation energy without anion corrections = -3.313 eV per atom
Symmetry = No. 227

a = 6.974 Å, b = 6.974 Å, c = 6.974 Å
α = 60.00°, β = 60.00°, γ = 60.00°
Sites, in units of the cell vectors:
Tm: 0.000 0.000 0.000
Tm: 0.000 0.000 0.500
Tm: 0.000 0.500 0.000
Tm: 0.500 0.000 0.000
V: 0.000 0.500 0.500
V: 0.500 0.000 0.500
V: 0.500 0.500 0.000
V: 0.500 0.500 0.500
O: 0.125 0.125 0.125
O: 0.169 0.169 0.581
O: 0.169 0.581 0.169
O: 0.169 0.581 0.581
O: 0.419 0.419 0.831
O: 0.419 0.831 0.419
O: 0.419 0.831 0.831
O: 0.581 0.169 0.169
O: 0.581 0.169 0.581
O: 0.581 0.581 0.169
O: 0.831 0.419 0.419
O: 0.831 0.419 0.831
O: 0.831 0.831 0.419
O: 0.875 0.875 0.875


Record 10
## MnAlAs2Br (SCAN)

Data for a crystal of MnAlAs2Br relaxed with PBEsol.

Values from the calculation:
Calculated density = 4.801 g cm⁻³
Raw total energy = -84.4 eV for the cell shown
Formation energy without anion corrections = 0.295 eV per atom
Symmetry = No. 123

a = 4.503 Å, b = 4.503 Å, c = 5.316 Å
α = 90.00°, β = 90.00°, γ = 90.00°
Sites, in units of the cell vectors:
Mn: 0.000 0.000 0.000
Al: 0.500 0.500 0.500
As: 0.000 0.500 0.000
As: 0.500 0.000 0.000
Br: 0.000 0.000 0.500


Record 11
## MnFeIr2 (SCAN)

Data for a crystal of MnFeIr2 relaxed with PBEsol.

Values from the calculation:
Calculated density = 16.341 g cm⁻³
Relative energy among the computed polymorphs = 0.052 eV per atom
Raw total energy = -179.5 eV for the cell shown
Symmetry = No. 123

a = 3.759 Å, b = 3.759 Å, c = 3.562 Å
α = 90.00°, β = 90.00°, γ = 90.00°
Sites, in units of the cell vectors:
Mn: 0.000 0.000 0.000
Fe: 0.500 0.500 0.000
Ir: 0.000 0.500 0.500
Ir: 0.500 0.000 0.500


Record 12
## Li3BN2 (SCAN)

Data for a crystal of Li3BN2 relaxed with PBEsol.

Values from the calculation:
Calculated density = 1.809 g cm⁻³
Relative energy among the computed polymorphs = 0.003 eV per atom
Raw total energy = -156.9 eV for the cell shown
Formation energy without anion corrections = -1.006 eV per atom
Symmetry = No. 141

a = 6.885 Å, b = 6.885 Å, c = 6.885 Å
α = 123.08°, β = 123.08°, γ = 84.75°
Sites, in units of the cell vectors:
Li: 0.000 0.250 0.750
Li: 0.000 0.750 0.250
Li: 0.150 0.400 0.300
Li: 0.150 0.850 0.750
Li: 0.250 0.000 0.250
Li: 0.400 0.150 0.800
Li: 0.400 0.600 0.250
Li: 0.600 0.400 0.750
Li: 0.600 0.850 0.200
Li: 0.750 0.000 0.750
Li: 0.850 0.150 0.250
Li: 0.850 0.600 0.700
B: 0.229 0.479 0.750
B: 0.479 0.229 0.250
B: 0.521 0.771 0.750
B: 0.771 0.521 0.250
N: 0.224 0.269 0.545
N: 0.224 0.679 0.955
N: 0.269 0.224 0.045
N: 0.321 0.776 0.545
N: 0.679 0.224 0.455
N: 0.731 0.776 0.955
N: 0.776 0.321 0.045
N: 0.776 0.731 0.455


- calculated density of number 3 (Tc3BiPt)?
  10.437 g cm⁻³